Entry from Alexandria via LeMat-Bulk: an optimized crystal structure of Na2AcEu (PBE).

Calculated values
- Uncorrected energy: -4.04 eV per atom

The structure in POSCAR format:
```
Na2AcEu
1.0
3.786 0.000 0.000
1.893 3.279 0.000
1.893 1.093 13.804
Eu Na Ac
1 2 1
Cartesian
3.786 2.186 6.902 Eu
1.893 1.093 10.166 Na
5.679 3.279 3.638 Na
0.000 0.000 0.000 Ac
```